# Pr2DyHo, relaxed, DFT PBE
# Space-group type ... P4/mmm, No. 123
# Total energy ... -0.1714 hartree per atom
# Mass density ... 7.52 g/cm3
# Spin magnetization ... 0.000 μB per formula unit
data_Pr2DyHo
_chemical_formula_sum 'Pr2 Dy1 Ho1'
_cell_length_a 3.638
_cell_length_b 3.638
_cell_length_c 10.162
_cell_angle_alpha 90.00
_cell_angle_beta 90.00
_cell_angle_gamma 90.00
_space_group_name_H-M_alt 'P 1'
_space_group_IT_number 1
loop_
_space_group_symop_operation_xyz
'x,y,z'
loop_
_atom_site_label
_atom_site_type_symbol
_atom_site_fract_x
_atom_site_fract_y
_atom_site_fract_z
_atom_site_occupancy
Pr1 Pr 0.000 0.000 0.249 1
Pr2 Pr 0.000 0.000 0.751 1
Dy1 Dy 0.500 0.500 0.500 1
Ho1 Ho 0.500 0.500 0.000 1

# PrDy4Ho, relaxed, DFT PBE
# Space-group type ... C2/c, No. 15
# Total energy ... -0.1682 hartree per atom
# Mass density ... 8.18 g/cm3
# Spin magnetization ... 0.000 μB per formula unit
data_PrDy4Ho
_chemical_formula_sum 'Pr2 Dy8 Ho2'
_cell_length_a 8.450
_cell_length_b 8.450
_cell_length_c 6.590
_cell_angle_alpha 109.70
_cell_angle_beta 109.70
_cell_angle_gamma 102.28
_space_group_name_H-M_alt 'P 1'
_space_group_IT_number 1
loop_
_space_group_symop_operation_xyz
'x,y,z'
loop_
_atom_site_label
_atom_site_type_symbol
_atom_site_fract_x
_atom_site_fract_y
_atom_site_fract_z
_atom_site_occupancy
Pr1 Pr 0.185 0.815 0.750 1
Pr2 Pr 0.815 0.185 0.250 1
Dy1 Dy 0.148 0.521 0.250 1
Dy2 Dy 0.261 0.408 0.754 1
Dy3 Dy 0.408 0.261 0.254 1
Dy4 Dy 0.479 0.852 0.250 1
Dy5 Dy 0.521 0.148 0.750 1
Dy6 Dy 0.592 0.739 0.746 1
Dy7 Dy 0.739 0.592 0.246 1
Dy8 Dy 0.852 0.479 0.750 1
Ho1 Ho 0.075 0.925 0.250 1
Ho2 Ho 0.925 0.075 0.750 1

# PrDy4Ho, relaxed, DFT PBE
# Space-group type ... P-1, No. 2
# Total energy ... -0.1693 hartree per atom
# Mass density ... 8.25 g/cm3
# Spin magnetization ... 0.000 μB per formula unit
data_PrDy4Ho
_chemical_formula_sum 'Pr1 Dy4 Ho1'
_cell_length_a 5.036
_cell_length_b 6.180
_cell_length_c 7.132
_cell_angle_alpha 106.75
_cell_angle_beta 90.00
_cell_angle_gamma 113.97
_space_group_name_H-M_alt 'P 1'
_space_group_IT_number 1
loop_
_space_group_symop_operation_xyz
'x,y,z'
loop_
_atom_site_label
_atom_site_type_symbol
_atom_site_fract_x
_atom_site_fract_y
_atom_site_fract_z
_atom_site_occupancy
Pr1 Pr 0.000 0.000 0.000 1
Dy1 Dy 0.332 0.663 0.664 1
Dy2 Dy 0.334 0.668 0.168 1
Dy3 Dy 0.666 0.332 0.832 1
Dy4 Dy 0.668 0.337 0.336 1
Ho1 Ho 0.000 0.000 0.500 1

# Pr4Dy3Ho2, relaxed, DFT PBE
# Space-group type ... C2/c, No. 15
# Total energy ... -0.1634 hartree per atom
# Mass density ... 7.27 g/cm3
# Spin magnetization ... 0.000 μB per formula unit
data_Pr4Dy3Ho2
_chemical_formula_sum 'Pr8 Dy6 Ho4'
_cell_length_a 9.707
_cell_length_b 9.707
_cell_length_c 7.265
_cell_angle_alpha 100.43
_cell_angle_beta 100.43
_cell_angle_gamma 105.16
_space_group_name_H-M_alt 'P 1'
_space_group_IT_number 1
loop_
_space_group_symop_operation_xyz
'x,y,z'
loop_
_atom_site_label
_atom_site_type_symbol
_atom_site_fract_x
_atom_site_fract_y
_atom_site_fract_z
_atom_site_occupancy
Pr1 Pr 0.066 0.681 0.561 1
Pr2 Pr 0.251 0.442 0.799 1
Pr3 Pr 0.319 0.934 0.939 1
Pr4 Pr 0.442 0.251 0.299 1
Pr5 Pr 0.558 0.749 0.701 1
Pr6 Pr 0.681 0.066 0.061 1
Pr7 Pr 0.749 0.558 0.201 1
Pr8 Pr 0.934 0.319 0.439 1
Dy1 Dy 0.004 0.996 0.250 1
Dy2 Dy 0.257 0.501 0.320 1
Dy3 Dy 0.499 0.743 0.180 1
Dy4 Dy 0.501 0.257 0.820 1
Dy5 Dy 0.743 0.499 0.680 1
Dy6 Dy 0.996 0.004 0.750 1
Ho1 Ho 0.074 0.680 0.048 1
Ho2 Ho 0.320 0.926 0.452 1
Ho3 Ho 0.680 0.074 0.548 1
Ho4 Ho 0.926 0.320 0.952 1

# Pr4Dy3Ho4, relaxed, DFT PBE
# Space-group type ... Amm2, No. 38
# Total energy ... -0.1656 hartree per atom
# Mass density ... 7.69 g/cm3
# Spin magnetization ... 0.000 μB per formula unit
data_Pr4Dy3Ho4
_chemical_formula_sum 'Pr4 Dy3 Ho4'
_cell_length_a 10.725
_cell_length_b 6.677
_cell_length_c 6.677
_cell_angle_alpha 50.60
_cell_angle_beta 90.00
_cell_angle_gamma 90.00
_space_group_name_H-M_alt 'P 1'
_space_group_IT_number 1
loop_
_space_group_symop_operation_xyz
'x,y,z'
loop_
_atom_site_label
_atom_site_type_symbol
_atom_site_fract_x
_atom_site_fract_y
_atom_site_fract_z
_atom_site_occupancy
Pr1 Pr 0.000 0.000 0.000 1
Pr2 Pr 0.208 0.795 0.795 1
Pr3 Pr 0.500 0.920 0.920 1
Pr4 Pr 0.792 0.795 0.795 1
Dy1 Dy 0.000 0.294 0.294 1
Dy2 Dy 0.287 0.451 0.451 1
Dy3 Dy 0.713 0.451 0.451 1
Ho1 Ho 0.000 0.592 0.592 1
Ho2 Ho 0.304 0.144 0.144 1
Ho3 Ho 0.500 0.647 0.647 1
Ho4 Ho 0.696 0.144 0.144 1

# PrDy2Ho, relaxed, DFT PBE
# Space-group type ... R-3m, No. 166
# Total energy ... -0.1698 hartree per atom
# Mass density ... 8.08 g/cm3
# Spin magnetization ... 0.000 μB per formula unit
data_PrDy2Ho
_chemical_formula_sum 'Pr1 Dy2 Ho1'
_cell_length_a 11.850
_cell_length_b 11.850
_cell_length_c 11.850
_cell_angle_alpha 17.38
_cell_angle_beta 17.38
_cell_angle_gamma 17.38
_space_group_name_H-M_alt 'P 1'
_space_group_IT_number 1
loop_
_space_group_symop_operation_xyz
'x,y,z'
loop_
_atom_site_label
_atom_site_type_symbol
_atom_site_fract_x
_atom_site_fract_y
_atom_site_fract_z
_atom_site_occupancy
Pr1 Pr 0.000 0.000 0.000 1
Dy1 Dy 0.248 0.248 0.248 1
Dy2 Dy 0.752 0.752 0.752 1
Ho1 Ho 0.500 0.500 0.500 1

| no. | relative energy among the computed polymorphs (meV per atom) |
| --- | --- |
| 1 | 9 |
| 2 | 30 |
| 3 | 0 |
| 4 | 144 |
| 5 | 28 |
| 6 | 0 |